Version P
Below is a geometry-optimized RbZn2Si2 structure, with properties calculated at the GGA-PBE level.

Cell: 4.350 4.350 6.447 Å, 70.28 70.28 90.00°
Atoms (fractional coordinates):
Si  0.250  0.750  0.500
Si  0.750  0.250  0.500
Rb  0.000  0.000  0.000
Zn  0.375  0.375  0.250
Zn  0.625  0.625  0.750

Computed properties:
Calculated density ... 4.22 g/cm³
Space-group type ... I4/mmm, No. 139

***

Version Q
Below is a geometry-optimized RbZn2Si2 structure, with properties calculated at the GGA-PBE level.

Cell: 8.381 8.381 2.921 Å, 90.00 90.00 90.00°
Atoms (fractional coordinates):
Rb  0.000  0.000  0.000
Rb  0.500  0.500  0.000
Zn  0.862  0.362  0.500
Zn  0.362  0.138  0.500
Zn  0.138  0.638  0.500
Zn  0.638  0.862  0.500
Si  0.136  0.364  0.000
Si  0.636  0.136  0.000
Si  0.864  0.636  0.000
Si  0.364  0.864  0.000

Computed properties:
Calculated density ... 4.41 g/cm³
Space-group type ... P4/mbm, No. 127

***

Version R
Below is a geometry-optimized RbZn2Si2 structure, with properties calculated at the GGA-PBE level.

Cell: 4.481 4.481 6.092 Å, 68.42 68.42 90.00°
Atoms (fractional coordinates):
Zn  0.750  0.250  0.500
Zn  0.250  0.750  0.500
Rb  0.000  0.000  0.000
Si  0.618  0.618  0.764
Si  0.382  0.382  0.236

Computed properties:
Calculated density ... 4.33 g/cm³
Space-group type ... I4/mmm, No. 139

***

Stability, highest: version R

***

Version P
Below is a geometry-optimized RbZrSi2 structure, with properties calculated at the GGA-PBE level.

Cell: 5.710 5.710 9.679 Å, 72.85 72.85 90.00°
Atoms (fractional coordinates):
Rb  0.250  0.750  0.500
Rb  0.500  0.500  0.000
Si  0.875  0.625  0.250
Si  0.875  0.125  0.750
Si  0.375  0.125  0.750
Si  0.875  0.125  0.250
Zr  0.000  0.000  0.000
Zr  0.750  0.250  0.500

Computed properties:
Calculated density ... 2.70 g/cm³
Space-group type ... I4_1/amd, No. 141

***

Version Q
Below is a geometry-optimized RbZrSi2 structure, with properties calculated at the GGA-PBE level.

Cell: 5.048 5.048 5.048 Å, 60.00 60.00 60.00°
Atoms (fractional coordinates):
Zr  0.500  0.500  0.500
Si  0.750  0.750  0.750
Si  0.250  0.250  0.250
Rb  0.000  0.000  0.000

Computed properties:
Calculated density ... 4.25 g/cm³
Space-group type ... Fm-3m, No. 225

***

Stability, highest: version P